1.
Density functional theory data (GGA-PBEsol) for a geometry-optimized Y2ZnAu2 structure.

abc: 3.725 7.650 7.650
angles: 90.00 90.00 90.00
Fractional coordinates of all 10 atoms:
Au 0.000 0.131 0.369
Au 0.000 0.631 0.131
Y 0.500 0.171 0.671
Y 0.500 0.329 0.171
Zn 0.000 0.500 0.500
Y 0.500 0.829 0.329
Y 0.500 0.671 0.829
Au 0.000 0.869 0.631
Zn 0.000 0.000 0.000
Au 0.000 0.369 0.869

## Properties
- crystal system = tetragonal
- SG = P4/mbm, No. 127
- M_tot (μB/f.u.) = 0.0
- formation energy from the elements (eV per atom) = -0.693

2.
Density functional theory data (GGA-PBEsol) for a geometry-optimized YZrAu structure.

abc: 4.749 4.749 4.749
angles: 60.00 60.00 60.00
Fractional coordinates of all 3 atoms:
Zr 0.500 0.500 0.500
Y 0.000 0.000 0.000
Au 0.250 0.250 0.250

## Properties
- crystal system = cubic
- SG = F-43m, No. 216
- M_tot (μB/f.u.) = 0.0
- formation energy from the elements (eV per atom) = -0.156
- E above lowest polymorph (eV/atom) = 0.090